! EuGdNiAg PBE optimized geometry; values from VASP
! * energy: -0.61890 Ry/atom
&SYSTEM
  ibrav = 0, nat = 16, ntyp = 4
/
ATOMIC_SPECIES
Eu 151.96 Eu.upf
Gd 157.25 Gd.upf
Ni 58.69 Ni.upf
Ag 107.87 Ag.upf
CELL_PARAMETERS angstrom
7.203 0.000 0.000
0.000 7.203 0.000
0.000 0.000 7.203
ATOMIC_POSITIONS crystal
Eu 0.000 0.000 0.000
Eu 0.000 0.500 0.500
Eu 0.500 0.000 0.500
Eu 0.500 0.500 0.000
Gd 0.000 0.000 0.500
Gd 0.000 0.500 0.000
Gd 0.500 0.000 0.000
Gd 0.500 0.500 0.500
Ni 0.250 0.250 0.750
Ni 0.250 0.750 0.250
Ni 0.750 0.250 0.250
Ni 0.750 0.750 0.750
Ag 0.250 0.250 0.250
Ag 0.250 0.750 0.750
Ag 0.750 0.250 0.750
Ag 0.750 0.750 0.250

---

! HgP2H8 PBE optimized geometry; values from VASP
! * energy: -0.24970 Ry/atom
&SYSTEM
  ibrav = 0, nat = 11, ntyp = 3
/
ATOMIC_SPECIES
Hg 200.59 Hg.upf
P 30.97 P.upf
H 1.01 H.upf
CELL_PARAMETERS angstrom
5.382 -3.318 0.000
5.382 3.318 0.000
-2.599 0.000 6.399
ATOMIC_POSITIONS crystal
Hg 0.000 0.000 0.000
P 0.261 0.261 0.711
P 0.739 0.739 0.289
H 0.007 0.320 0.664
H 0.132 0.132 0.225
H 0.282 0.282 0.929
H 0.320 0.007 0.664
H 0.680 0.993 0.336
H 0.718 0.718 0.071
H 0.868 0.868 0.775
H 0.993 0.680 0.336

---

! SrZnSi2 PBE optimized geometry; values from VASP
! * energy: -0.23409 Ry/atom
! * energy relative to the elements, uncorrected: 0.266 eV/atom
&SYSTEM
  ibrav = 0, nat = 16, ntyp = 3
/
ATOMIC_SPECIES
Sr 87.62 Sr.upf
Zn 65.41 Zn.upf
Si 28.09 Si.upf
CELL_PARAMETERS angstrom
6.984 0.000 0.000
0.000 6.984 0.000
0.000 0.000 6.984
ATOMIC_POSITIONS crystal
Sr 0.000 0.000 0.000
Sr 0.000 0.500 0.500
Sr 0.500 0.000 0.500
Sr 0.500 0.500 0.000
Zn 0.000 0.000 0.500
Zn 0.000 0.500 0.000
Zn 0.500 0.000 0.000
Zn 0.500 0.500 0.500
Si 0.250 0.250 0.250
Si 0.250 0.250 0.750
Si 0.250 0.750 0.250
Si 0.250 0.750 0.750
Si 0.750 0.250 0.250
Si 0.750 0.250 0.750
Si 0.750 0.750 0.250
Si 0.750 0.750 0.750

---

! Ta2CoRh PBE optimized geometry; values from VASP
! * energy: -0.72203 Ry/atom
&SYSTEM
  ibrav = 0, nat = 4, ntyp = 3
/
ATOMIC_SPECIES
Ta 180.95 Ta.upf
Co 58.93 Co.upf
Rh 102.91 Rh.upf
CELL_PARAMETERS angstrom
2.851 0.000 0.000
0.000 3.722 0.000
-0.154 0.000 5.697
ATOMIC_POSITIONS crystal
Ta 0.013 0.000 0.258
Ta 0.987 0.000 0.742
Co 0.500 0.500 0.500
Rh 0.500 0.500 0.000

---

! Mn2TeCl PBE optimized geometry; values from VASP
! * E above lowest polymorph: 72.3 meV/atom
! * energy: -0.43457 Ry/atom
! * energy relative to the elements, uncorrected: -0.081 eV/atom
&SYSTEM
  ibrav = 0, nat = 12, ntyp = 3
/
ATOMIC_SPECIES
Mn 54.94 Mn.upf
Te 127.60 Te.upf
Cl 35.45 Cl.upf
CELL_PARAMETERS angstrom
3.417 0.000 0.000
-1.708 2.959 0.000
0.000 0.000 27.465
ATOMIC_POSITIONS crystal
Mn 0.000 0.000 0.000
Mn 0.000 0.000 0.259
Mn 0.333 0.667 0.667
Mn 0.333 0.667 0.926
Mn 0.667 0.333 0.333
Mn 0.667 0.333 0.592
Te 0.000 0.000 0.531
Te 0.333 0.667 0.197
Te 0.667 0.333 0.864
Cl 0.000 0.000 0.722
Cl 0.333 0.667 0.388
Cl 0.667 0.333 0.055

---

! ZnCo6B2 PBE optimized geometry; values from VASP
! * energy: -0.47519 Ry/atom
&SYSTEM
  ibrav = 0, nat = 18, ntyp = 3
/
ATOMIC_SPECIES
Zn 65.41 Zn.upf
Co 58.93 Co.upf
B 10.81 B.upf
CELL_PARAMETERS angstrom
-3.344 3.481 3.767
3.344 -3.481 3.767
3.344 3.481 -3.767
ATOMIC_POSITIONS crystal
Zn 0.000 0.000 0.000
Zn 0.500 0.500 0.000
Co 0.029 0.241 0.788
Co 0.193 0.294 0.488
Co 0.193 0.706 0.899
Co 0.317 0.015 0.698
Co 0.317 0.619 0.302
Co 0.453 0.241 0.212
Co 0.547 0.759 0.788
Co 0.683 0.381 0.698
Co 0.683 0.985 0.302
Co 0.807 0.294 0.101
Co 0.807 0.706 0.512
Co 0.971 0.759 0.212
B 0.118 0.618 0.500
B 0.355 0.000 0.355
B 0.645 0.000 0.645
B 0.882 0.382 0.500

---

! CeHoZr2 PBE optimized geometry; values from VASP
! * E above lowest polymorph: 0.0 meV/atom
! * energy: -0.49908 Ry/atom
&SYSTEM
  ibrav = 0, nat = 8, ntyp = 3
/
ATOMIC_SPECIES
Ce 140.12 Ce.upf
Ho 164.93 Ho.upf
Zr 91.22 Zr.upf
CELL_PARAMETERS angstrom
5.725 0.000 0.000
0.000 3.311 0.000
-1.907 0.000 10.933
ATOMIC_POSITIONS crystal
Ce 0.000 0.000 0.000
Ce 0.500 0.500 0.000
Ho 0.167 0.000 0.501
Ho 0.667 0.500 0.501
Zr 0.081 0.500 0.750
Zr 0.247 0.500 0.248
Zr 0.581 0.000 0.750
Zr 0.747 0.000 0.248

---

! Ta3Ga2H2 PBE optimized geometry; values from VASP
! * energy: -0.51294 Ry/atom
&SYSTEM
  ibrav = 0, nat = 7, ntyp = 3
/
ATOMIC_SPECIES
Ta 180.95 Ta.upf
Ga 69.72 Ga.upf
H 1.01 H.upf
CELL_PARAMETERS angstrom
2.906 0.000 0.000
-1.224 4.799 0.000
-1.409 -1.698 6.549
ATOMIC_POSITIONS crystal
Ta 0.000 0.000 0.000
Ta 0.093 0.442 0.776
Ta 0.907 0.558 0.224
Ga 0.322 0.188 0.418
Ga 0.678 0.812 0.582
H 0.419 0.745 0.075
H 0.581 0.255 0.925

---

! RbCdIn2Pd PBE optimized geometry; values from VASP
! * energy: -0.19802 Ry/atom
&SYSTEM
  ibrav = 0, nat = 5, ntyp = 4
/
ATOMIC_SPECIES
Rb 85.47 Rb.upf
Cd 112.41 Cd.upf
In 114.82 In.upf
Pd 106.42 Pd.upf
CELL_PARAMETERS angstrom
5.283 0.000 0.000
0.000 5.283 0.000
0.000 0.000 5.430
ATOMIC_POSITIONS crystal
Rb 0.000 0.000 0.000
Cd 0.500 0.500 0.000
In 0.000 0.500 0.500
In 0.500 0.000 0.500
Pd 0.500 0.500 0.500

---

! AgRhN2F PBE optimized geometry; values from VASP
! * E above lowest polymorph: 0.0 meV/atom
! * energy: -0.37295 Ry/atom
! * energy relative to the elements, uncorrected: 0.671 eV/atom
&SYSTEM
  ibrav = 0, nat = 5, ntyp = 4
/
ATOMIC_SPECIES
Ag 107.87 Ag.upf
Rh 102.91 Rh.upf
N 14.01 N.upf
F 19.00 F.upf
CELL_PARAMETERS angstrom
3.754 0.000 0.000
0.000 3.754 0.000
0.000 0.000 5.052
ATOMIC_POSITIONS crystal
Ag 0.000 0.000 0.000
Rh 0.500 0.500 0.500
N 0.000 0.500 0.500
N 0.500 0.000 0.500
F 0.500 0.500 0.000

---

! Sr2Pr2In3 PBE optimized geometry; values from VASP
! * energy: -0.24656 Ry/atom
&SYSTEM
  ibrav = 0, nat = 14, ntyp = 3
/
ATOMIC_SPECIES
Sr 87.62 Sr.upf
Pr 140.91 Pr.upf
In 114.82 In.upf
CELL_PARAMETERS angstrom
9.558 0.000 0.000
0.000 5.504 0.000
-3.202 0.000 9.355
ATOMIC_POSITIONS crystal
Sr 0.128 0.000 0.385
Sr 0.372 0.500 0.615
Sr 0.628 0.500 0.385
Sr 0.872 0.000 0.615
Pr 0.123 0.500 0.867
Pr 0.377 0.000 0.133
Pr 0.623 0.000 0.867
Pr 0.877 0.500 0.133
In 0.000 0.000 0.000
In 0.244 0.500 0.233
In 0.256 0.000 0.767
In 0.500 0.500 0.000
In 0.744 0.000 0.233
In 0.756 0.500 0.767

---

! Rb2DyYTe4 PBE optimized geometry; values from VASP
! * energy: -0.33724 Ry/atom
! * energy relative to the elements, uncorrected: -1.392 eV/atom
&SYSTEM
  ibrav = 0, nat = 8, ntyp = 4
/
ATOMIC_SPECIES
Rb 85.47 Rb.upf
Dy 162.50 Dy.upf
Y 88.91 Y.upf
Te 127.60 Te.upf
CELL_PARAMETERS angstrom
7.839 0.000 0.000
0.000 4.528 0.000
-2.611 0.000 8.550
ATOMIC_POSITIONS crystal
Rb 0.000 0.000 0.000
Rb 0.500 0.500 0.000
Dy 0.000 0.500 0.500
Y 0.500 0.000 0.500
Te 0.233 0.000 0.699
Te 0.267 0.500 0.301
Te 0.733 0.500 0.699
Te 0.767 0.000 0.301